(1)
The following is a DFT calculation (GGA-PBE) of a relaxed structure of Na3Ag2Te4.

a = 4.3628 Å, b = 5.7794 Å, c = 12.0816 Å
α = 93.08°, β = 90.00°, γ = 112.18°
Atoms (fractional coordinates):
Te 0.9183 0.8365 0.3890
Ag 0.3294 0.6588 0.2483
Te 0.2536 0.5072 0.8788
Na 0.0000 0.0000 0.0000
Te 0.0817 0.1635 0.6110
Na 0.6283 0.2567 0.3702
Na 0.3717 0.7433 0.6298
Te 0.7464 0.4928 0.1212
Ag 0.6706 0.3412 0.7517

Values from the calculation:
The symmetry is C2/m, No. 12. As for the density of states at the Fermi level: 3.0 states/eV/f.u. The formation energy from raw total energies is -435 meV/atom. The value obtained for the electronic total energy is -26.1 eV for the cell shown.

***

(2)
The following is a DFT calculation (GGA-PBE) of a relaxed structure of NaAg3Te.

a = 5.0030 Å, b = 5.0030 Å, c = 5.0030 Å
α = 90.00°, β = 90.00°, γ = 90.00°
Atoms (fractional coordinates):
Na 0.0000 0.0000 0.0000
Ag 0.0000 0.0000 0.5000
Te 0.5000 0.5000 0.5000
Ag 0.5000 0.0000 0.0000
Ag 0.0000 0.5000 0.0000

Values from the calculation:
The symmetry is Pm-3m, No. 221. The energy above the most stable polymorph in this dataset comes out at 0.344 eV/atom. As for the density of states at the Fermi level: 1.0 states/eV/f.u. The formation energy from raw total energies is 653 meV/atom. The value obtained for the electronic total energy is -9.7 eV for the cell shown.

***

(3)
The following is a DFT calculation (GGA-PBE) of a relaxed structure of NaAgTe3.

a = 5.5245 Å, b = 5.5245 Å, c = 5.5245 Å
α = 90.00°, β = 90.00°, γ = 90.00°
Atoms (fractional coordinates):
Te 0.5000 0.0000 0.0000
Ag 0.0000 0.0000 0.0000
Na 0.5000 0.5000 0.5000
Te 0.0000 0.0000 0.5000
Te 0.0000 0.5000 0.0000

Values from the calculation:
The symmetry is Pm-3m, No. 221. The energy above the most stable polymorph in this dataset comes out at 0.337 eV/atom. As for the density of states at the Fermi level: 6.8 states/eV/f.u. The formation energy from raw total energies is 95 meV/atom. The value obtained for the electronic total energy is -13.1 eV for the cell shown.

***

(4)
The following is a DFT calculation (GGA-PBE) of a relaxed structure of Na3AgTe4.

a = 4.4855 Å, b = 9.2466 Å, c = 7.9699 Å
α = 125.46°, β = 106.34°, γ = 90.00°
Atoms (fractional coordinates):
Na 0.0000 0.5000 0.0000
Te 0.3747 0.1302 0.7495
Te 0.6253 0.3807 0.2505
Ag 0.5000 0.0000 0.0000
Te 0.6253 0.8698 0.2505
Na 0.1902 0.1902 0.3805
Na 0.8098 0.8098 0.6195
Te 0.3747 0.6193 0.7495

Values from the calculation:
The symmetry is Immm, No. 71. As for the density of states at the Fermi level: 2.2 states/eV/f.u. The formation energy from raw total energies is -420 meV/atom. The value obtained for the electronic total energy is -22.7 eV for the cell shown.

***

(5)
The following is a DFT calculation (GGA-PBE) of a relaxed structure of NaAg4Te4.

a = 6.1269 Å, b = 9.3068 Å, c = 9.3068 Å
α = 90.00°, β = 90.00°, γ = 90.00°
Atoms (fractional coordinates):
Ag 0.8912 0.6580 0.8362
Na 0.0000 0.0000 0.0000
Te 0.3999 0.6447 0.8486
Te 0.1001 0.1447 0.3486
Te 0.6001 0.8486 0.3553
Ag 0.1088 0.8362 0.3420
Te 0.6001 0.1514 0.6447
Na 0.5000 0.5000 0.5000
Ag 0.6088 0.8420 0.6638
Ag 0.3912 0.3362 0.8420
Ag 0.1088 0.1638 0.6580
Ag 0.6088 0.1580 0.3362
Te 0.1001 0.8553 0.6514
Ag 0.8912 0.3420 0.1638
Te 0.3999 0.3553 0.1514
Te 0.8999 0.6514 0.1447
Ag 0.3912 0.6638 0.1580
Te 0.8999 0.3486 0.8553

Values from the calculation:
The symmetry is P4_2/n, No. 86. As for the density of states at the Fermi level: 4.1 states/eV/f.u. The formation energy from raw total energies is -107 meV/atom. The value obtained for the electronic total energy is -52.5 eV for the cell shown.

***

(6)
The following is a DFT calculation (GGA-PBE) of a relaxed structure of NaAg8Te6.

a = 7.6464 Å, b = 7.6464 Å, c = 9.0145 Å
α = 64.91°, β = 64.91°, γ = 60.00°
Atoms (fractional coordinates):
Te 0.9667 0.5523 0.2211
Na 0.0000 0.0000 0.0000
Ag 0.8301 0.1227 0.4168
Ag 0.3696 0.1699 0.5832
Te 0.7400 0.0333 0.7789
Ag 0.4308 0.4308 0.7075
Te 0.4477 0.7400 0.7789
Ag 0.1227 0.6304 0.4168
Ag 0.8773 0.3696 0.5832
Ag 0.6304 0.8301 0.4168
Ag 0.1699 0.8773 0.5832
Te 0.0333 0.4477 0.7789
Ag 0.5692 0.5692 0.2925
Te 0.5523 0.2600 0.2211
Te 0.2600 0.9667 0.2211

Values from the calculation:
The symmetry is R-3, No. 148. As for the density of states at the Fermi level: 9.4 states/eV/f.u. The formation energy from raw total energies is -88 meV/atom. The value obtained for the electronic total energy is -44.3 eV for the cell shown.

***

(7)
The following is a DFT calculation (GGA-PBE) of a relaxed structure of Na2Ag2Te3.

a = 4.7133 Å, b = 6.6886 Å, c = 12.7467 Å
α = 90.00°, β = 100.65°, γ = 90.00°
Atoms (fractional coordinates):
Te 0.4217 0.9860 0.8434
Te 0.5783 0.4860 0.1566
Na 0.8566 0.7500 0.7132
Ag 0.3120 0.0340 0.6241
Te 0.4217 0.5140 0.8434
Ag 0.3120 0.4660 0.6241
Na 0.9805 0.2500 0.9611
Ag 0.6880 0.5340 0.3759
Te 0.7714 0.2500 0.5427
Na 0.0195 0.7500 0.0389
Ag 0.6880 0.9660 0.3759
Te 0.5783 0.0140 0.1566
Na 0.1434 0.2500 0.2868
Te 0.2286 0.7500 0.4573

Values from the calculation:
The symmetry is Cmcm, No. 63. The energy above the most stable polymorph in this dataset comes out at 0.000 eV/atom. As for the density of states at the Fermi level: 3.1 states/eV/f.u. The formation energy from raw total energies is -389 meV/atom. The value obtained for the electronic total energy is -41.0 eV for the cell shown.

***

(8)
The following is a DFT calculation (GGA-PBE) of a relaxed structure of Na2Ag5Te4.

a = 5.6624 Å, b = 7.7235 Å, c = 8.4286 Å
α = 82.93°, β = 70.37°, γ = 68.50°
Atoms (fractional coordinates):
Te 0.2343 0.2764 0.2551
Ag 0.2500 0.5000 0.5000
Te 0.5107 0.7236 0.2551
Te 0.4893 0.2764 0.7449
Ag 0.7500 0.5000 0.5000
Na 0.1626 0.0000 0.6748
Ag 0.5000 0.0000 0.0000
Te 0.7657 0.7236 0.7449
Ag 0.5000 0.5000 0.0000
Na 0.8374 0.0000 0.3252
Ag 0.0000 0.5000 0.0000

Values from the calculation:
The symmetry is Fmmm, No. 69. As for the density of states at the Fermi level: 3.3 states/eV/f.u. The formation energy from raw total energies is -186 meV/atom. The value obtained for the electronic total energy is -31.5 eV for the cell shown.

***

(9)
The following is a DFT calculation (GGA-PBE) of a relaxed structure of NaAgTe.

a = 4.4866 Å, b = 4.7356 Å, c = 4.7356 Å
α = 120.00°, β = 90.00°, γ = 90.00°
Atoms (fractional coordinates):
Ag 0.1690 0.3333 0.6667
Te 0.1650 0.0000 0.0000
Na 0.6660 0.6667 0.3333

Values from the calculation:
The symmetry is P3m1, No. 156. As for the density of states at the Fermi level: 0.2 states/eV/f.u. The formation energy from raw total energies is -484 meV/atom. The value obtained for the electronic total energy is -8.8 eV for the cell shown.

***

(10)
The following is a DFT calculation (GGA-PBE) of a relaxed structure of NaAgTe.

a = 4.6485 Å, b = 7.5896 Å, c = 13.0700 Å
α = 90.84°, β = 90.00°, γ = 90.00°
Atoms (fractional coordinates):
Na 0.7500 0.0176 0.2974
Ag 0.2500 0.8644 0.4576
Te 0.7500 0.2704 0.7514
Ag 0.7500 0.6509 0.7872
Te 0.2500 0.7599 0.9095
Ag 0.7500 0.1356 0.5424
Na 0.2500 0.9824 0.7026
Ag 0.2500 0.9947 0.0921
Ag 0.7500 0.0053 0.9079
Na 0.7500 0.5273 0.3742
Ag 0.2500 0.3491 0.2128
Te 0.7500 0.7568 0.5761
Na 0.2500 0.4727 0.6258
Na 0.7500 0.6629 0.0829
Te 0.7500 0.2401 0.0905
Te 0.2500 0.7296 0.2486
Te 0.2500 0.2432 0.4239
Na 0.2500 0.3371 0.9171

Values from the calculation:
The symmetry is P2_1/m, No. 11. As for the density of states at the Fermi level: 0.1 states/eV/f.u. The formation energy from raw total energies is -543 meV/atom. The value obtained for the electronic total energy is -53.6 eV for the cell shown.

***

(11)
The following is a DFT calculation (GGA-PBE) of a relaxed structure of Na4Ag5Te6.

a = 4.6913 Å, b = 10.5407 Å, c = 17.1361 Å
α = 90.00°, β = 90.00°, γ = 102.86°
Atoms (fractional coordinates):
Te 0.4333 0.8666 0.3940
Ag 0.3530 0.7060 0.2543
Ag 0.4290 0.8580 0.6919
Te 0.2260 0.4520 0.4853
Ag 0.8528 0.7056 0.1266
Te 0.1187 0.2373 0.1183
Na 0.0299 0.0599 0.7622
Na 0.9701 0.9401 0.2622
Te 0.5667 0.1334 0.8940
Te 0.5681 0.1362 0.3579
Te 0.5585 0.1170 0.6251
Te 0.4319 0.8638 0.8579
Ag 0.2970 0.5939 0.6274
Ag 0.1472 0.2944 0.6266
Ag 0.5710 0.1420 0.1919
Te 0.7740 0.5480 0.9853
Ag 0.3488 0.6977 0.9973
Na 0.8267 0.6534 0.4455
Ag 0.6470 0.2940 0.7543
Ag 0.7030 0.4061 0.1274
Ag 0.6512 0.3023 0.4973
Na 0.0076 0.0152 0.5030
Te 0.8813 0.7627 0.6183
Te 0.7761 0.5521 0.2699
Na 0.1733 0.3466 0.9455
Te 0.4415 0.8830 0.1251
Na 0.1733 0.3467 0.2967
Na 0.9924 0.9848 0.0030
Na 0.8267 0.6533 0.7967
Te 0.2239 0.4479 0.7699

Values from the calculation:
The symmetry is Cmc2_1, No. 36. As for the density of states at the Fermi level: 5.5 states/eV/f.u. The formation energy from raw total energies is -413 meV/atom. The value obtained for the electronic total energy is -89.1 eV for the cell shown.

***

> The lowest electronic total energy belongs to which entry?

Na4Ag5Te6